The following is a DFT calculation (GGA-PBE) of a relaxed Tb3Ho3Tm5 crystal.

Cell lengths 9.584, 9.584, 5.514 Å; angles 90.00, 90.00, 120.00 degrees
Fractional positions:
Tb: 0.000 0.537 0.000
Tb: 0.463 0.463 0.000
Tb: 0.537 0.000 0.000
Ho: 0.000 0.721 0.500
Ho: 0.279 0.279 0.500
Ho: 0.721 0.000 0.500
Tm: 0.000 0.366 0.500
Tm: 0.333 0.667 0.500
Tm: 0.366 0.000 0.500
Tm: 0.634 0.634 0.500
Tm: 0.667 0.333 0.500

**Energy relative to the elements**: 0.8192 eV per atom
**Total energy**: -3.72 eV/atom

***

The following is a DFT calculation (GGA-PBE) of a relaxed RhPbBr crystal.

Cell lengths 6.263, 6.263, 6.263 Å; angles 147.60, 147.60, 46.48 degrees
Fractional positions:
Rh: 0.000 0.000 0.000
Pb: 0.382 0.382 0.000
Br: 0.651 0.651 0.000

**Total energy**: -4.13 eV/atom
**Polymorph energy (0 for the lowest one)**: 111.2 meV/atom

***

The following is a DFT calculation (GGA-PBE) of a relaxed ErLuPt crystal.

Cell lengths 4.788, 4.788, 4.788 Å; angles 60.00, 60.00, 60.00 degrees
Fractional positions:
Er: 0.000 0.000 0.000
Lu: 0.500 0.500 0.500
Pt: 0.250 0.250 0.250

**Energy relative to the elements**: -0.9311 eV per atom
**Total energy**: -5.97 eV/atom

***

The following is a DFT calculation (GGA-PBE) of a relaxed CaPmSmY crystal.

Cell lengths 3.673, 3.673, 10.468 Å; angles 90.00, 90.00, 90.00 degrees
Fractional positions:
Ca: 0.000 0.000 0.000
Pm: 0.500 0.500 0.730
Sm: 0.000 0.000 0.495
Y: 0.500 0.500 0.263

**Energy relative to the elements**: 0.0581 eV per atom
**Total energy**: -4.43 eV/atom
**Polymorph energy (0 for the lowest one)**: 0.0 meV/atom

***

The following is a DFT calculation (GGA-PBE) of a relaxed PmDy2Ho crystal.

Cell lengths 12.578, 5.674, 7.283 Å; angles 90.00, 90.00, 90.00 degrees
Fractional positions:
Pm: 0.167 0.250 0.250
Pm: 0.333 0.750 0.750
Pm: 0.667 0.250 0.250
Pm: 0.833 0.750 0.750
Dy: 0.083 0.750 0.501
Dy: 0.083 0.750 0.998
Dy: 0.417 0.250 0.001
Dy: 0.417 0.250 0.498
Dy: 0.583 0.750 0.502
Dy: 0.583 0.750 0.999
Dy: 0.917 0.250 0.002
Dy: 0.917 0.250 0.499
Ho: 0.166 0.250 0.750
Ho: 0.334 0.750 0.250
Ho: 0.666 0.250 0.750
Ho: 0.834 0.750 0.250

**Energy relative to the elements**: 0.0139 eV per atom
**Total energy**: -4.62 eV/atom
**Polymorph energy (0 for the lowest one)**: 0.0 meV/atom

***

The following is a DFT calculation (GGA-PBE) of a relaxed YCu2OsI crystal.

Cell lengths 5.244, 5.244, 5.698 Å; angles 90.00, 90.00, 90.00 degrees
Fractional positions:
Y: 0.000 0.000 0.000
Cu: 0.000 0.500 0.000
Cu: 0.500 0.000 0.000
Os: 0.500 0.500 0.500
I: 0.000 0.000 0.500

**Total energy**: -3.66 eV/atom

***

> What is the total energy in the sixth record?

-3.66 eV/atom